Record 1
First-principles (PBE-GGA) data for a relaxed structure of WSICl2, as listed in Alexandria.

Values from the calculation:
M_tot = 0.00 μB per formula unit
Total energy = -4.4050 eV per atom

POSCAR file:
```
WSICl2
1.0
4.8499 0.0000 0.0000
0.0000 4.7552 0.0000
0.0000 0.0000 4.8499
I S W Cl
1 1 1 2
Cartesian
2.4250 2.3776 2.4250
0.0000 2.3776 0.0000
0.0000 0.0000 0.0000
0.0000 0.0000 2.4250
2.4250 0.0000 0.0000
```

---

Record 2
First-principles (PBE-GGA) data for a relaxed structure of ZnSI2Cl, as listed in Alexandria.

Values from the calculation:
M_tot = 0.00 μB per formula unit
Total energy = -1.7824 eV per atom

POSCAR file:
```
ZnSI2Cl
1.0
5.6864 0.0000 0.0000
0.0000 4.6994 0.0000
0.0000 0.0000 5.6864
I Zn S Cl
2 1 1 1
Cartesian
0.0000 0.0000 2.8432
2.8432 0.0000 0.0000
2.8432 2.3497 2.8432
0.0000 0.0000 0.0000
0.0000 2.3497 0.0000
```

---

Record 3
First-principles (PBE-GGA) data for a relaxed structure of ZrS2ICl, as listed in Alexandria.

Values from the calculation:
M_tot = 2.14 μB per formula unit
Total energy = -3.2425 eV per atom

POSCAR file:
```
ZrS2ICl
1.0
-4.7971 -0.1962 2.0088
-1.9002 -1.3072 -4.6654
0.6792 -5.0247 1.1312
I S Zr Cl
1 2 1 1
Cartesian
0.0000 0.0000 0.0000
-0.9501 -0.6536 -2.3327
-2.3985 -0.0981 1.0044
-3.0090 -3.2640 -0.7627
0.3396 -2.5123 0.5656
```

---

Record 4
First-principles (PBE-GGA) data for a relaxed structure of ZrS2ICl, as listed in Alexandria.

Values from the calculation:
M_tot = 0.69 μB per formula unit
Total energy = -4.6405 eV per atom

POSCAR file:
```
ZrS2ICl
1.0
-2.1039 2.8068 -3.6723
-4.6201 -1.3982 1.5782
-0.1381 3.9747 3.1171
I S Zr Cl
1 2 1 1
Cartesian
-3.4310 2.6917 0.5115
-2.3100 -0.6991 0.7891
-1.0520 1.4034 -1.8362
0.0000 0.0000 0.0000
-0.0690 1.9874 1.5585
```

---

Record 5
First-principles (PBE-GGA) data for a relaxed structure of SbICl2, as listed in Alexandria.

Values from the calculation:
M_tot = 0.00 μB per formula unit
Total energy = -2.2280 eV per atom

POSCAR file:
```
SbICl2
1.0
0.0000 3.7046 3.7046
3.7046 0.0000 3.7046
3.7046 3.7046 0.0000
I Sb Cl
1 1 2
Cartesian
3.7046 3.7046 3.7046
0.0000 0.0000 0.0000
1.8523 1.8523 1.8523
5.5570 5.5570 5.5570
```

---

Record 6
First-principles (PBE-GGA) data for a relaxed structure of SbI3Cl, as listed in Alexandria.

Values from the calculation:
M_tot = 1.00 μB per formula unit
Total energy = -2.0479 eV per atom

POSCAR file:
```
SbI3Cl
1.0
5.9738 0.0000 0.0000
0.0000 5.9738 0.0000
0.0000 0.0000 5.9738
I Sb Cl
3 1 1
Cartesian
0.0000 2.9869 0.0000
0.0000 0.0000 2.9869
2.9869 0.0000 0.0000
0.0000 0.0000 0.0000
2.9869 2.9869 2.9869
```

---

Record 7
First-principles (PBE-GGA) data for a relaxed structure of SbI2Cl8, as listed in Alexandria.

Values from the calculation:
M_tot = 0.00 μB per formula unit
Total energy = -2.4121 eV per atom

POSCAR file:
```
SbI2Cl8
1.0
0.0217 0.1710 7.2092
-1.2882 -7.4743 0.1812
7.0633 -4.3200 3.6879
Sb I Cl
1 2 8
Cartesian
0.0000 0.0000 0.0000
2.9111 -6.0221 7.3474
2.8857 -5.6012 3.7308
4.4662 -10.6929 5.5224
4.4778 -10.6013 9.3825
1.3306 -0.9304 5.5559
0.6004 -4.9708 3.7228
1.3190 -1.0220 1.6958
0.2623 -5.2898 7.3380
5.5344 -6.3335 3.7403
5.1964 -6.6524 7.3555
```

---

Record 8
First-principles (PBE-GGA) data for a relaxed structure of SbI3Cl, as listed in Alexandria.

Values from the calculation:
M_tot = 0.00 μB per formula unit
Total energy = -2.4983 eV per atom

POSCAR file:
```
SbI3Cl
1.0
7.2085 -2.0678 -1.3945
-2.4631 9.5390 1.1223
-1.4849 0.9026 8.6213
Sb I Cl
2 6 2
Cartesian
-1.5312 5.8747 6.2153
1.6302 5.8197 1.4790
2.4066 3.7108 3.2264
-0.5681 8.6835 7.3714
5.1073 1.1312 3.4849
-0.1834 1.1991 5.7182
4.3718 3.1408 7.2079
0.0199 7.2702 3.2537
0.6385 5.1287 6.9482
3.6226 7.1251 1.7180
```

---

Record 9
First-principles (PBE-GGA) data for a relaxed structure of SbICl2, as listed in Alexandria.

Values from the calculation:
M_tot = 0.00 μB per formula unit
Total energy = -2.3974 eV per atom

POSCAR file:
```
SbICl2
1.0
-0.6159 3.8340 3.6953
0.1282 -3.7082 3.8687
8.7651 0.9647 4.3480
I Sb Cl
2 2 4
Cartesian
0.0000 0.0000 0.0000
3.9526 2.4308 5.9127
-0.2439 0.0629 3.7820
4.3247 -1.3403 5.9993
1.8907 1.7486 3.4703
2.1261 -1.1719 4.3768
6.4051 0.3593 6.5266
6.1328 1.2449 9.4504
```

---

Record 10
First-principles (PBE-GGA) data for a relaxed structure of SbI2Cl5, as listed in Alexandria.

Values from the calculation:
M_tot = 0.55 μB per formula unit
Total energy = -2.4817 eV per atom

POSCAR file:
```
SbI2Cl5
1.0
-1.9514 -2.9621 4.8245
-4.4158 -6.9972 -2.3454
5.8312 -5.8171 2.5233
Sb I Cl
1 2 5
Cartesian
-6.1581 -9.6419 1.9626
-0.6868 -8.5264 3.5386
0.2875 -7.0446 1.1265
0.0501 -4.1205 4.7218
2.4520 -11.1564 1.4160
-2.8833 -4.4619 3.3297
-0.4805 -11.4965 0.0218
4.8402 -7.3176 4.9685
```

---

Record 11
First-principles (PBE-GGA) data for a relaxed structure of SbI3Cl8, as listed in Alexandria.

Values from the calculation:
M_tot = 0.00 μB per formula unit
Total energy = -2.3713 eV per atom

POSCAR file:
```
SbI3Cl8
1.0
-6.6387 2.5245 1.8868
-2.0509 -4.9581 6.0073
3.5660 6.1016 4.8047
Cl I Sb
8 3 1
Cartesian
-0.8545 -0.7051 4.2034
-4.2691 4.3731 8.4955
-4.5220 1.1472 7.5477
-0.6016 2.5208 5.1512
-4.6948 3.6831 5.1679
-0.4288 -0.0150 7.5310
-0.4894 5.6695 6.8598
-4.6342 -2.0014 5.8391
-4.4281 1.4440 3.4806
-0.6955 2.2240 9.2183
0.0000 0.0000 0.0000
0.7576 0.5718 5.4060
```

---

Record 12
First-principles (PBE-GGA) data for a relaxed structure of SbI3Cl, as listed in Alexandria.

Values from the calculation:
M_tot = 0.83 μB per formula unit
Total energy = -1.4797 eV per atom

POSCAR file:
```
SbI3Cl
1.0
-0.7551 -4.9323 2.7821
-1.7359 -2.4700 -4.8501
5.3902 -1.4864 -1.1722
I Sb Cl
3 1 1
Cartesian
-0.8679 -1.2350 -2.4250
2.6951 -0.7432 -0.5861
-0.3775 -2.4661 1.3911
1.4496 -4.4443 -1.6201
0.0000 0.0000 0.0000
```